The following is a PBE-GGA calculation of crystalline BeCoCl2 at its relaxed geometry, from Alexandria.

## Properties
* V: 19.70 A^3/atom
* formation energy without anion corrections: -0.161 eV/atom
* raw total energy: -30.3 eV/cell
* energy above the lowest structure with this stoichiometry: 0.64 eV per formula unit

```
data_BeCoCl2
_chemical_formula_sum 'Be2 Co2 Cl4'
_space_group_name_H-M_alt 'C m m 2'
_space_group_IT_number 35
_space_group_name_Hall 'C 2 -2'
_cell_length_a 3.0089
_cell_length_b 6.0571
_cell_length_c 8.6489
_cell_angle_alpha 90.00
_cell_angle_beta 90.00
_cell_angle_gamma 90.00
loop_
_atom_site_label
_atom_site_type_symbol
_atom_site_fract_x
_atom_site_fract_y
_atom_site_fract_z
_atom_site_occupancy
Be1 Be 0.0000 0.0000 0.0000 1
Co1 Co 0.0000 0.5000 0.7825 1
Cl1 Cl 0.0000 0.0000 0.5948 1
Cl2 Cl 0.0000 0.5000 0.1554 1
```